one | PBE SmPaAu, optimized geometry; Fermi-level density of states = 11.71 states/eV per cell
1.0
-3.031 -3.999 0.090
4.832 -0.540 -1.245
1.588 -1.055 6.617
Sm Au Pa
2 2 2
Cartesian
1.228 -0.816 5.119
0.359 -0.239 1.498
3.796 -2.746 5.806
-0.407 -2.848 -0.345
0.385 -3.374 2.957
3.004 -2.220 2.505


two | PBE SmPaAu, optimized geometry; Fermi-level density of states = 4.65 states/eV per cell
1.0
3.405 0.000 0.000
0.000 5.033 0.000
0.000 -2.517 4.359
Pa Au Sm
1 1 1
Cartesian
0.185 0.000 0.000
0.945 0.000 2.906
2.274 2.517 1.453


Question: of the structures shown, which is the least stable? Reply: two.